i:
Cd2PtAu3: optimized geometry, PBE-GGA.

a b c (Å): 6.596 6.596 9.371
angles (deg): 115.50 115.50 37.24
Fractional coordinates of all 12 atoms:
Cd1 0.032 0.032 0.371
Cd2 0.290 0.290 0.630
Cd3 0.710 0.710 0.370
Cd4 0.968 0.968 0.629
Pt1 0.373 0.373 0.384
Pt2 0.627 0.627 0.616
Au1 0.125 0.125 0.127
Au2 0.210 0.210 0.876
Au3 0.457 0.457 0.126
Au4 0.543 0.543 0.874
Au5 0.790 0.790 0.124
Au6 0.875 0.875 0.873

Summary:
The calculation puts the volume at 18.32 A^3/atom. The spin magnetization is 0.0000 μB/atom. Its symmetry is C2/m, No. 12.

ii:
Cd2PtAu3: optimized geometry, PBE-GGA.

a b c (Å): 7.764 7.764 3.078
angles (deg): 90.00 90.00 143.35
Fractional coordinates of all 6 atoms:
Cd1 0.168 0.832 0.000
Cd2 0.832 0.168 0.000
Pt1 0.500 0.500 0.000
Au1 0.000 0.000 0.500
Au2 0.339 0.661 0.500
Au3 0.661 0.339 0.500

Summary:
The calculation puts the volume at 18.46 A^3/atom. The spin magnetization is 0.0000 μB/atom. Its symmetry is Cmmm, No. 65.

Relative to the most stable structure, the computed energies are i 0; ii 52, all in meV/atom.

i:
Cd4PtAu: optimized geometry, PBE-GGA.

a b c (Å): 7.373 7.373 7.373
angles (deg): 125.53 125.53 80.67
Fractional coordinates of all 12 atoms:
Cd1 0.032 0.532 0.830
Cd2 0.202 0.032 0.500
Cd3 0.298 0.798 0.830
Cd4 0.468 0.298 0.500
Cd5 0.532 0.702 0.500
Cd6 0.702 0.202 0.170
Cd7 0.798 0.968 0.500
Cd8 0.968 0.468 0.170
Pt1 0.250 0.250 0.000
Pt2 0.750 0.750 0.000
Au1 0.000 0.000 0.000
Au2 0.500 0.500 0.000

Summary:
The calculation puts the volume at 21.33 A^3/atom. The spin magnetization is 0.0000 μB/atom. Its symmetry is I4/mcm, No. 140.

ii:
Cd4PtAu: optimized geometry, PBE-GGA.

a b c (Å): 4.583 4.583 6.635
angles (deg): 90.00 90.00 90.00
Fractional coordinates of all 6 atoms:
Cd1 0.000 0.500 0.240
Cd2 0.000 0.500 0.760
Cd3 0.500 0.000 0.240
Cd4 0.500 0.000 0.760
Pt1 0.000 0.000 0.000
Au1 0.500 0.500 0.500

Summary:
The calculation puts the volume at 23.23 A^3/atom. The spin magnetization is 0.0000 μB/atom. Its symmetry is P4/mmm, No. 123.

Relative to the most stable structure, the computed energies are i 0; ii 12, all in meV/atom.

i:
Cd2PtAu2: optimized geometry, PBE-GGA.

a b c (Å): 4.619 4.619 10.896
angles (deg): 90.00 90.00 120.00
Fractional coordinates of all 10 atoms:
Cd1 0.333 0.667 0.109
Cd2 0.333 0.667 0.391
Cd3 0.667 0.333 0.609
Cd4 0.667 0.333 0.891
Pt1 0.000 0.000 0.250
Pt2 0.000 0.000 0.750
Au1 0.000 0.000 0.000
Au2 0.000 0.000 0.500
Au3 0.333 0.667 0.750
Au4 0.667 0.333 0.250

Summary:
The calculation puts the volume at 20.13 A^3/atom. The spin magnetization is 0.0000 μB/atom. Its symmetry is P6_3/mmc, No. 194.

ii:
Cd2PtAu2: optimized geometry, PBE-GGA.

a b c (Å): 7.189 7.189 3.825
angles (deg): 90.00 90.00 90.00
Fractional coordinates of all 10 atoms:
Cd1 0.167 0.333 0.000
Cd2 0.333 0.833 0.000
Cd3 0.667 0.167 0.000
Cd4 0.833 0.667 0.000
Pt1 0.000 0.000 0.500
Pt2 0.500 0.500 0.500
Au1 0.137 0.637 0.500
Au2 0.363 0.137 0.500
Au3 0.637 0.863 0.500
Au4 0.863 0.363 0.500

Summary:
The calculation puts the volume at 19.77 A^3/atom. The spin magnetization is 0.0000 μB/atom. Its symmetry is P4/mbm, No. 127.

iii:
Cd2PtAu2: optimized geometry, PBE-GGA.

a b c (Å): 7.856 7.856 3.153
angles (deg): 90.00 90.00 90.00
Fractional coordinates of all 10 atoms:
Cd1 0.166 0.334 0.000
Cd2 0.334 0.834 0.000
Cd3 0.666 0.166 0.000
Cd4 0.834 0.666 0.000
Pt1 0.000 0.000 0.000
Pt2 0.500 0.500 0.000
Au1 0.133 0.633 0.500
Au2 0.367 0.133 0.500
Au3 0.633 0.867 0.500
Au4 0.867 0.367 0.500

Summary:
The calculation puts the volume at 19.46 A^3/atom. The spin magnetization is 0.0000 μB/atom. Its symmetry is P4/mbm, No. 127.

Relative to the most stable structure, the computed energies are i 0; ii 79; iii 187, all in meV/atom.